First-principles (GGA+U) data for a geometry-optimized Rb2MoClO structure, as listed in Alexandria via LeMat-Bulk.

abc: 6.9510 6.9510 4.9278
angles: 90.00 90.00 90.00
Element x y z (fractional)
Rb 0.0000 0.5000 0.0000
Rb 0.5000 0.0000 0.0000
Mo 0.0000 0.0000 0.0000
Cl 0.0000 0.0000 0.5000
O 0.5000 0.5000 0.5000

Results
Magnetization: 5.19 μB per formula unit
Uncorrected energy: -2.938 eV per atom